Record 1
# Ag2AsAu

A geometry-optimized Ag2AsAu structure (GGA-PBE, Alexandria via LeMat-Bulk).

- total magnetization (Bohr magnetons per cell) = 0.00
- calculated total energy (eV/atom) = -3.315
- mass density (g/cm3) = 11.02
- ΔH_f (0 K) (eV per atom) = 0.092

```
Ag2AsAu
1.0
-3.180 1.553 -3.796
-4.902 0.712 -1.548
-0.671 4.871 1.309
As Au Ag
1 1 2
Cartesian
-4.467 3.618 -2.068
-2.137 1.747 -0.983
-8.032 2.276 -5.301
-6.578 5.329 -3.045
```

Record 2
# Ag2AsAu

A geometry-optimized Ag2AsAu structure (GGA-PBE, Alexandria via LeMat-Bulk).

- total magnetization (Bohr magnetons per cell) = 0.00
- calculated total energy (eV/atom) = -3.291
- mass density (g/cm3) = 10.98
- ΔH_f (0 K) (eV per atom) = 0.116

```
Ag2AsAu
1.0
-2.090 3.502 -2.622
-3.324 -3.161 -1.571
-1.841 0.725 2.435
As Au Ag
1 1 2
Cartesian
-1.965 2.113 -0.094
-2.582 -1.218 0.432
0.000 0.000 0.000
-2.707 0.170 -2.097
```

Record 3
# Ag2AsAu

A geometry-optimized Ag2AsAu structure (GGA-PBE, Alexandria via LeMat-Bulk).

- total magnetization (Bohr magnetons per cell) = 0.00
- calculated total energy (eV/atom) = -3.319
- mass density (g/cm3) = 10.94
- ΔH_f (0 K) (eV per atom) = 0.089

```
Ag2AsAu
1.0
4.487 0.000 0.000
0.000 2.979 0.027
0.000 1.487 5.552
As Au Ag
1 1 2
Cartesian
0.000 2.788 2.759
2.244 2.792 4.197
0.000 4.282 5.509
2.244 1.304 1.482
```

Record 4
# AgAs2Au

A geometry-optimized AgAs2Au structure (GGA-PBE, Alexandria via LeMat-Bulk).

- total magnetization (Bohr magnetons per cell) = 0.00
- excess energy over the best structure of this formula in the dataset (kJ/mol of formula units) = 18
- calculated total energy (eV/atom) = -3.661
- mass density (g/cm3) = 9.89
- ΔH_f (0 K) (eV per atom) = 0.196

```
AgAs2Au
1.0
-0.802 -2.696 -0.460
2.671 -0.873 0.477
-1.952 -0.978 9.139
As Au Ag
2 1 1
Cartesian
-1.904 -0.954 8.913
0.399 -2.053 2.515
-0.990 -0.496 4.633
-0.516 -2.512 6.802
```